# 1
Material: Cs2Rb4InSb2
Method: DFT, PBE-GGA
State: optimized geometry

Space group   C2/m

Cell and atoms, written as POSCAR:
```
Cs2Rb4InSb2
1.0
6.111 0.578 0.393
2.125 9.592 0.715
2.125 4.187 8.659
Cs Rb In Sb
2 4 1 2
Direct
0.354 0.645 0.645 Cs
0.646 0.355 0.355 Cs
0.136 0.656 0.075 Rb
0.864 0.925 0.344 Rb
0.864 0.344 0.925 Rb
0.136 0.075 0.656 Rb
0.500 0.000 0.000 In
0.305 0.195 0.195 Sb
0.695 0.805 0.805 Sb
```

# 2
Material: SiPt2
Method: DFT, PBE-GGA
State: optimized geometry

Space group   I4/mmm

Cell and atoms, written as POSCAR:
```
SiPt2
1.0
5.391 0.006 -0.067
3.735 3.887 0.067
-4.537 -2.008 2.110
Pt Si
2 1
Direct
0.641 0.641 0.000 Pt
0.359 0.359 0.000 Pt
0.000 0.000 0.000 Si
```

| no. | calculated total energy (eV/atom) | E_form (uncorrected) (meV per atom) |
| --- | --- | --- |
| 1 | -2.0371 | -197 |
| 2 | -6.2966 | -462 |